[1]
Sc2CoIr | PBE-GGA | relaxed

abc: 6.369 4.497 8.995
angles: 90.00 90.00 90.00
Atoms (fractional coordinates):
Co 0.750 0.250 0.125
Co 0.250 0.750 0.375
Co 0.750 0.250 0.625
Co 0.250 0.750 0.875
Ir 0.250 0.250 0.125
Ir 0.750 0.750 0.375
Ir 0.250 0.250 0.625
Ir 0.750 0.750 0.875
Sc 0.500 0.750 0.125
Sc 0.000 0.750 0.125
Sc 0.500 0.250 0.375
Sc 0.000 0.250 0.375
Sc 0.000 0.750 0.625
Sc 0.500 0.750 0.625
Sc 0.000 0.250 0.875
Sc 0.500 0.250 0.875

Calculated values
* total DFT energy (no corrections): -7.879 eV/atom
* crystal system: cubic
* DFT formation energy: -724.2 meV/atom

***

[2]
Sc2CoIr | PBE-GGA | relaxed

abc: 4.507 4.507 3.181
angles: 90.00 90.00 90.00
Atoms (fractional coordinates):
Co 0.500 0.500 0.000
Ir 0.000 0.000 0.000
Sc 0.500 0.000 0.500
Sc 0.000 0.500 0.500

Calculated values
* total DFT energy (no corrections): -7.862 eV/atom
* crystal system: tetragonal
* DFT formation energy: -707.9 meV/atom

***

Computed E above lowest polymorph, in the same sequence as the records: 0.0; 16.4 meV/atom.